Record 1
Compound: CsNa2GaI4
Source: Alexandria via LeMat-Bulk
Functional: PBE
Structure: optimized geometry

The total energy is -84.0 eV per cell. The value obtained for the uncorrected formation energy is -8.28 eV/f.u.

Cell lengths 4.8162, 16.7559, 17.8329 Å; angles 90.00, 90.00, 90.00 degrees
Closest atoms and distances in Å follow each position.
Space group Cmcm (No. 63)
Symmetry-distinct sites (fractional):
Cs 0.0000 0.1515 0.2500 x4  6 I 3.78-3.95
Na 0.0000 0.3743 0.0329 x8  5 I 3.24-3.39
Ga 0.0000 0.1357 0.7500 x4  4 I 3.07-3.21
I 0.0000 0.0000 0.0000 x4  4 Na 3.25
I 0.0000 0.2466 0.6032 x8  1 Ga 3.21, 3 Na 3.24-3.39
I 0.0000 0.4775 0.2500 x4  2 Ga 3.07

=====

Record 2
Compound: Cs2NbGaI6
Source: Alexandria via LeMat-Bulk
Functional: PBE
Structure: optimized geometry

The total energy is -129.9 eV per cell. The value obtained for the uncorrected formation energy is -8.37 eV/f.u.

Cell lengths 12.1264, 12.1264, 12.1264 Å; angles 90.00, 90.00, 90.00 degrees
Closest atoms and distances in Å follow each position.
Space group Fm-3m (No. 225)
Symmetry-distinct sites (fractional):
Cs 0.2500 0.2500 0.2500 x8  12 I 4.29
Nb 0.0000 0.0000 0.0000 x4  6 I 2.87
Ga 0.0000 0.0000 0.5000 x4  6 I 3.19
I 0.0000 0.0000 0.2370 x24  1 Nb 2.87, 1 Ga 3.19

=====

Record 3
Compound: Cs2NdGaI6
Source: Alexandria via LeMat-Bulk
Functional: PBE
Structure: optimized geometry

The total energy is -62.9 eV per cell. The value obtained for the uncorrected formation energy is -12.66 eV/f.u.

Cell lengths 8.9227, 12.6675, 8.9942 Å; angles 90.00, 90.00, 90.00 degrees
Closest atoms and distances in Å follow each position.
Space group Pmmn (No. 59, origin choice 2)
Symmetry-distinct sites (fractional):
Cs 0.2500 0.0069 0.2344 x4  12 I 4.27-4.73
Nd 0.2500 0.7500 0.7548 x2  6 I 3.11-3.12
Ga 0.2500 0.2500 0.7434 x2  6 I 3.22
I 0.0007 0.7500 0.5136 x4  1 Nd 3.11, 1 Ga 3.22
I 0.0044 0.7500 0.0022 x4  1 Nd 3.12, 1 Ga 3.22
I 0.2500 0.5041 0.7604 x4  1 Nd 3.12, 1 Ga 3.22

=====

Record 4
Compound: Cs2GaNiI6
Source: Alexandria via LeMat-Bulk
Functional: PBE
Structure: optimized geometry

The total energy is -54.3 eV per cell. The value obtained for the uncorrected formation energy is -7.33 eV/f.u.

Cell lengths 8.1705, 8.1705, 11.5414 Å; angles 90.00, 90.00, 90.00 degrees
Closest atoms and distances in Å follow each position.
Space group I4/mmm (No. 139)
Symmetry-distinct sites (fractional):
Cs 0.0000 0.5000 0.2500 x4  12 I 4.09
Ga 0.0000 0.0000 0.0000 x2  6 I 3.00-3.03
Ni 0.0000 0.0000 0.5000 x2  6 I 2.75-2.77
I 0.0000 0.0000 0.2602 x4  1 Ni 2.77, 1 Ga 3.00
I 0.2379 0.2379 0.5000 x8  1 Ni 2.75, 1 Ga 3.03